[1]
Compound: NpNb2S6
Source: the Alexandria database
Functional: PBE-GGA
Structure: optimized geometry

Formation energy from raw total energies (meV/atom): -947
Energy (eV per atom): -7.374

abc: 14.7850 4.0845 9.4718
angles: 90.00 124.64 90.00
Space group C2/m (No. 12)
Symmetry-distinct sites (fractional):
Np  0.0000  0.0000  0.0000 x2
Nb  0.0153  0.5000  0.3484 x4
S  0.1030  0.0000  0.3472 x4
S  0.1079  0.5000  0.9777 x4
S  0.1436  0.5000  0.6619 x4

=====

[2]
Compound: CsSiSbO6
Source: the Alexandria database
Functional: PBE-GGA
Structure: optimized geometry

Formation energy from raw total energies (meV/atom): -1498
Energy (eV per atom): -5.959

abc: 5.0882 5.0882 6.9123
angles: 90.00 90.00 120.00
Space group P312 (No. 149)
Symmetry-distinct sites (fractional):
Cs  0.0000  0.0000  0.0000 x1
Si  0.6667  0.3333  0.5000 x1
Sb  0.3333  0.6667  0.5000 x1
O  0.3936  0.0337  0.6505 x6

=====

[3]
Compound: YGe3
Source: the Alexandria database
Functional: PBE-GGA
Structure: optimized geometry

Energy of formation (meV/atom): -463
Energy (eV per atom): -5.542

abc: 4.0503 3.9302 10.7181
angles: 90.00 100.87 90.00
Space group P2_1/m (No. 11)
Symmetry-distinct sites (fractional):
Y  0.0822  0.2500  0.1649 x2
Ge  0.1915  0.7500  0.3823 x2
Ge  0.3109  0.7500  0.6212 x2
Ge  0.4607  0.2500  0.9216 x2

=====

| no. | calculated volume (A^3/atom) |
| --- | --- |
| 1 | 26.1 |
| 2 | 17.2 |
| 3 | 20.9 |